1.
A plane-wave DFT calculation with PBE-GGA was carried out for crystalline Th3Ga2Os at its relaxed geometry.

- final energy (Ry per atom) = -0.51645
- ΔE to the lowest computed polymorph (meV per atom) = 0.0
- formation energy from the elements (eV per atom) = -0.436
- calculated volume (A^3/atom) = 25.57
- space-group type = Pnma (62)

a = 4.3677 Å, b = 11.5496 Å, c = 12.1657 Å
α = 90.00°, β = 90.00°, γ = 90.00°
Fractional coordinates of all 24 atoms:
Th  0.2500  0.3726  0.0481
Th  0.7500  0.6274  0.9519
Th  0.7500  0.8726  0.4519
Th  0.2500  0.1274  0.5481
Th  0.2500  0.7025  0.2310
Th  0.7500  0.2975  0.7690
Th  0.7500  0.2025  0.2690
Th  0.2500  0.7975  0.7310
Th  0.2500  0.4434  0.3803
Th  0.7500  0.5566  0.6197
Th  0.7500  0.9434  0.1197
Th  0.2500  0.0566  0.8803
Ga  0.2500  0.6919  0.4904
Ga  0.7500  0.3081  0.5096
Ga  0.7500  0.1919  0.0096
Ga  0.2500  0.8081  0.9904
Ga  0.2500  0.9954  0.3077
Ga  0.7500  0.0046  0.6923
Ga  0.7500  0.4954  0.1923
Ga  0.2500  0.5046  0.8077
Os  0.2500  0.1281  0.1245
Os  0.7500  0.8719  0.8755
Os  0.7500  0.6281  0.3755
Os  0.2500  0.3719  0.6245


2.
A plane-wave DFT calculation with PBE-GGA was carried out for crystalline Th3Ga3Os2 at its relaxed geometry.

- final energy (Ry per atom) = -0.52671
- formation energy from the elements (eV per atom) = -0.441
- calculated volume (A^3/atom) = 22.14
- space-group type = Pnma (62)

a = 5.6800 Å, b = 7.9923 Å, c = 15.6050 Å
α = 90.00°, β = 90.00°, γ = 90.00°
Fractional coordinates of all 32 atoms:
Th  0.1088  0.4640  0.3912
Th  0.6088  0.0360  0.6088
Th  0.8912  0.5360  0.8912
Th  0.3912  0.9640  0.1088
Th  0.8912  0.5360  0.6088
Th  0.3912  0.9640  0.3912
Th  0.1088  0.4640  0.1088
Th  0.6088  0.0360  0.8912
Th  0.6306  0.3314  0.2500
Th  0.1306  0.1686  0.7500
Th  0.3694  0.6686  0.7500
Th  0.8694  0.8314  0.2500
Ga  0.1250  0.1756  0.2500
Ga  0.6250  0.3244  0.7500
Ga  0.8750  0.8244  0.7500
Ga  0.3750  0.6756  0.2500
Ga  0.6025  0.3272  0.4660
Ga  0.1025  0.1728  0.5340
Ga  0.3975  0.6728  0.9660
Ga  0.8975  0.8272  0.0340
Ga  0.3975  0.6728  0.5340
Ga  0.8975  0.8272  0.4660
Ga  0.6025  0.3272  0.0340
Ga  0.1025  0.1728  0.9660
Os  0.8695  0.1149  0.3883
Os  0.3695  0.3851  0.6117
Os  0.1305  0.8851  0.8883
Os  0.6305  0.6149  0.1117
Os  0.1305  0.8851  0.6117
Os  0.6305  0.6149  0.3883
Os  0.8695  0.1149  0.1117
Os  0.3695  0.3851  0.8883


3.
A plane-wave DFT calculation with PBE-GGA was carried out for crystalline ThGaOs at its relaxed geometry.

- final energy (Ry per atom) = -0.56485
- formation energy from the elements (eV per atom) = -0.460
- calculated volume (A^3/atom) = 20.69
- space-group type = Pnma (62)

a = 4.6906 Å, b = 7.1673 Å, c = 7.3851 Å
α = 90.00°, β = 90.00°, γ = 90.00°
Fractional coordinates of all 12 atoms:
Th  0.2500  0.8087  0.4666
Th  0.7500  0.3087  0.0334
Th  0.2500  0.6913  0.9666
Th  0.7500  0.1913  0.5334
Ga  0.7500  0.8895  0.1950
Ga  0.7500  0.6105  0.6950
Ga  0.2500  0.1105  0.8050
Ga  0.2500  0.3895  0.3050
Os  0.7500  0.5569  0.3459
Os  0.7500  0.9431  0.8459
Os  0.2500  0.0569  0.1541
Os  0.2500  0.4431  0.6541


4.
A plane-wave DFT calculation with PBE-GGA was carried out for crystalline Th3Ga7Os2 at its relaxed geometry.

- final energy (Ry per atom) = -0.43088
- formation energy from the elements (eV per atom) = -0.370
- calculated volume (A^3/atom) = 21.01
- space-group type = Cmmm (65)

a = 4.0519 Å, b = 4.2100 Å, c = 14.9310 Å
α = 98.10°, β = 90.00°, γ = 90.00°
Fractional coordinates of all 12 atoms:
Th  0.5000  0.5000  0.0000
Th  0.5000  0.6674  0.3349
Th  0.5000  0.3326  0.6651
Ga  0.0000  0.4171  0.8341
Ga  0.0000  0.7722  0.5445
Ga  0.0000  0.0000  0.0000
Ga  0.0000  0.5829  0.1659
Ga  0.5000  0.0822  0.1644
Ga  0.5000  0.9178  0.8356
Ga  0.0000  0.2278  0.4555
Os  0.0000  0.8563  0.7126
Os  0.0000  0.1437  0.2874


5.
A plane-wave DFT calculation with PBE-GGA was carried out for crystalline Th3Ga3Os at its relaxed geometry.

- final energy (Ry per atom) = -0.48198
- formation energy from the elements (eV per atom) = -0.476
- calculated volume (A^3/atom) = 23.72
- space-group type = C2/m (12)

a = 4.2527 Å, b = 5.9402 Å, c = 14.3029 Å
α = 81.89°, β = 81.45°, γ = 69.03°
Fractional coordinates of all 14 atoms:
Th  0.5230  0.3367  0.6173
Th  0.4770  0.6633  0.3827
Th  0.2581  0.2485  0.2352
Th  0.7419  0.7515  0.7648
Th  0.3862  0.3057  0.9219
Th  0.6138  0.6943  0.0781
Ga  0.8400  0.7847  0.5352
Ga  0.1600  0.2153  0.4648
Ga  0.1013  0.8702  0.9273
Ga  0.8987  0.1298  0.0727
Ga  0.9737  0.8250  0.2276
Ga  0.0263  0.1750  0.7724
Os  0.7634  0.1004  0.3728
Os  0.2366  0.8996  0.6272


6.
A plane-wave DFT calculation with PBE-GGA was carried out for crystalline Th6Ga3Os at its relaxed geometry.

- final energy (Ry per atom) = -0.48853
- formation energy from the elements (eV per atom) = -0.164
- calculated volume (A^3/atom) = 28.87
- space-group type = R-3 (148)

a = 8.3292 Å, b = 8.3292 Å, c = 8.3292 Å
α = 91.15°, β = 91.15°, γ = 91.15°
Fractional coordinates of all 20 atoms:
Th  0.2388  0.8977  0.2102
Th  0.1023  0.7898  0.7612
Th  0.5703  0.8285  0.4764
Th  0.7898  0.7612  0.1023
Th  0.4764  0.5703  0.8285
Th  0.1715  0.5236  0.4297
Th  0.8285  0.4764  0.5703
Th  0.5236  0.4297  0.1715
Th  0.2102  0.2388  0.8977
Th  0.4297  0.1715  0.5236
Th  0.8977  0.2102  0.2388
Th  0.7612  0.1023  0.7898
Ga  0.4410  0.9360  0.8558
Ga  0.9360  0.8558  0.4410
Ga  0.1442  0.5590  0.0640
Ga  0.8558  0.4410  0.9360
Ga  0.0640  0.1442  0.5590
Ga  0.5590  0.0640  0.1442
Os  0.0000  0.0000  0.0000
Os  0.5000  0.5000  0.5000


7.
A plane-wave DFT calculation with PBE-GGA was carried out for crystalline Th5Ga2Os at its relaxed geometry.

- final energy (Ry per atom) = -0.50723
- formation energy from the elements (eV per atom) = -0.103
- calculated volume (A^3/atom) = 28.15
- space-group type = Cmcm (63)

a = 5.7033 Å, b = 5.7683 Å, c = 15.7498 Å
α = 90.00°, β = 90.00°, γ = 119.63°
Fractional coordinates of all 16 atoms:
Th  0.9193  0.8386  0.8861
Th  0.9193  0.8386  0.6139
Th  0.4224  0.8447  0.3998
Th  0.4224  0.8447  0.1002
Th  0.7417  0.4834  0.2500
Th  0.2583  0.5166  0.7500
Th  0.5776  0.1553  0.6002
Th  0.5776  0.1553  0.8998
Th  0.0807  0.1614  0.1139
Th  0.0807  0.1614  0.3861
Ga  0.7576  0.5152  0.4428
Ga  0.7576  0.5152  0.0572
Ga  0.2424  0.4848  0.5572
Ga  0.2424  0.4848  0.9428
Os  0.7338  0.4677  0.7500
Os  0.2662  0.5323  0.2500


8.
A plane-wave DFT calculation with PBE-GGA was carried out for crystalline ThGaOs at its relaxed geometry.

- final energy (Ry per atom) = -0.56045
- formation energy from the elements (eV per atom) = -0.400
- calculated volume (A^3/atom) = 21.19
- space-group type = P6_3/mmc (194)

a = 4.4324 Å, b = 4.4324 Å, c = 7.4728 Å
α = 90.00°, β = 90.00°, γ = 120.00°
Fractional coordinates of all 6 atoms:
Ga  0.6667  0.3333  0.3666
Ga  0.3333  0.6667  0.8666
Th  0.0000  0.0000  0.6166
Th  0.0000  0.0000  0.1166
Os  0.6667  0.3333  0.8668
Os  0.3333  0.6667  0.3668


9.
A plane-wave DFT calculation with PBE-GGA was carried out for crystalline ThGa5Os2 at its relaxed geometry.

- final energy (Ry per atom) = -0.43197
- formation energy from the elements (eV per atom) = -0.251
- calculated volume (A^3/atom) = 18.18
- space-group type = Immm (71)

a = 3.8295 Å, b = 6.4818 Å, c = 6.4818 Å
α = 77.76°, β = 72.82°, γ = 72.82°
Fractional coordinates of all 8 atoms:
Th  0.0000  0.0000  0.0000
Ga  0.0000  0.5000  0.5000
Ga  0.6545  0.5376  0.1534
Ga  0.3455  0.4624  0.8466
Ga  0.3455  0.8466  0.4624
Ga  0.6545  0.1534  0.5376
Os  0.7342  0.7658  0.7658
Os  0.2658  0.2342  0.2342


10.
A plane-wave DFT calculation with PBE-GGA was carried out for crystalline ThGaOs at its relaxed geometry.

- final energy (Ry per atom) = -0.52616
- formation energy from the elements (eV per atom) = 0.067
- calculated volume (A^3/atom) = 23.63
- space-group type = I4mm (107)

a = 3.9428 Å, b = 3.9428 Å, c = 5.3444 Å
α = 111.65°, β = 111.65°, γ = 90.00°
Fractional coordinates of all 3 atoms:
Os  0.9963  0.9963  0.9925
Th  0.5865  0.5865  0.1729
Ga  0.2673  0.2673  0.5345


11.
A plane-wave DFT calculation with PBE-GGA was carried out for crystalline TmThGaOs at its relaxed geometry.

- final energy (Ry per atom) = -0.51733
- ΔE to the lowest computed polymorph (meV per atom) = 0.0
- formation energy from the elements (eV per atom) = -0.502
- calculated volume (A^3/atom) = 23.10
- space-group type = Amm2 (38)

a = 4.1597 Å, b = 3.9584 Å, c = 5.9851 Å
α = 90.00°, β = 110.33°, γ = 90.00°
Fractional coordinates of all 4 atoms:
Tm  0.0365  0.0000  0.0731
Th  0.7595  0.5000  0.5191
Ga  0.4672  0.5000  0.9345
Os  0.3063  0.0000  0.6126


12.
A plane-wave DFT calculation with PBE-GGA was carried out for crystalline TmThGaOs at its relaxed geometry.

- final energy (Ry per atom) = -0.50386
- ΔE to the lowest computed polymorph (meV per atom) = 183.2
- formation energy from the elements (eV per atom) = -0.318
- calculated volume (A^3/atom) = 22.27
- space-group type = F-43m (216)

a = 5.0129 Å, b = 5.0129 Å, c = 5.0129 Å
α = 60.00°, β = 60.00°, γ = 60.00°
Fractional coordinates of all 4 atoms:
Tm  0.5000  0.5000  0.5000
Os  0.7500  0.7500  0.7500
Ga  0.2500  0.2500  0.2500
Th  0.0000  0.0000  0.0000


13.
A plane-wave DFT calculation with PBE-GGA was carried out for crystalline ThUGa5Os2 at its relaxed geometry.

- final energy (Ry per atom) = -0.45580
- formation energy from the elements (eV per atom) = 0.054
- calculated volume (A^3/atom) = 19.88
- space-group type = P4/mmm (123)

a = 4.8265 Å, b = 4.8265 Å, c = 7.6789 Å
α = 90.00°, β = 90.00°, γ = 90.00°
Fractional coordinates of all 9 atoms:
Th  0.0000  0.0000  0.5000
U  0.0000  0.0000  0.0000
Ga  0.0000  0.5000  0.2343
Ga  0.5000  0.0000  0.2343
Ga  0.0000  0.5000  0.7657
Ga  0.5000  0.0000  0.7657
Ga  0.5000  0.5000  0.5000
Os  0.5000  0.5000  0.1715
Os  0.5000  0.5000  0.8285


14.
A plane-wave DFT calculation with PBE-GGA was carried out for crystalline Ti4GaOs5 at its relaxed geometry.

- final energy (Ry per atom) = -0.70985
- formation energy from the elements (eV per atom) = -0.582
- calculated volume (A^3/atom) = 14.68
- space-group type = P4/mmm (123)

a = 3.0972 Å, b = 3.0972 Å, c = 15.3061 Å
α = 90.00°, β = 90.00°, γ = 90.00°
Fractional coordinates of all 10 atoms:
Ti  0.0000  0.0000  0.1943
Ti  0.0000  0.0000  0.3980
Ti  0.0000  0.0000  0.6020
Ti  0.0000  0.0000  0.8057
Ga  0.0000  0.0000  0.0000
Os  0.5000  0.5000  0.0996
Os  0.5000  0.5000  0.2994
Os  0.5000  0.5000  0.5000
Os  0.5000  0.5000  0.7006
Os  0.5000  0.5000  0.9004


15.
A plane-wave DFT calculation with PBE-GGA was carried out for crystalline TiGaOs2 at its relaxed geometry.

- final energy (Ry per atom) = -0.63949
- formation energy from the elements (eV per atom) = -0.355
- calculated volume (A^3/atom) = 14.49
- space-group type = P4/mmm (123)

a = 3.0961 Å, b = 3.0961 Å, c = 6.0473 Å
α = 90.00°, β = 90.00°, γ = 90.00°
Fractional coordinates of all 4 atoms:
Os  0.0000  0.0000  0.7531
Os  0.0000  0.0000  0.2469
Ga  0.5000  0.5000  0.0000
Ti  0.5000  0.5000  0.5000


16.
A plane-wave DFT calculation with PBE-GGA was carried out for crystalline Ti2GaOs at its relaxed geometry.

- final energy (Ry per atom) = -0.54669
- formation energy from the elements (eV per atom) = 0.074
- calculated volume (A^3/atom) = 17.23
- space-group type = I-42d (122)

a = 7.2566 Å, b = 7.2566 Å, c = 5.7602 Å
α = 50.96°, β = 50.96°, γ = 90.00°
Fractional coordinates of all 8 atoms:
Os  0.0000  0.0000  0.0000
Os  0.7500  0.2500  0.5000
Ga  0.5000  0.5000  0.0000
Ga  0.2500  0.7500  0.5000
Ti  0.6658  0.1250  0.2500
Ti  0.0842  0.6250  0.2500
Ti  0.3750  0.3342  0.7500
Ti  0.8750  0.9158  0.7500


17.
A plane-wave DFT calculation with PBE-GGA was carried out for crystalline Ti2Ga2Os at its relaxed geometry.

- final energy (Ry per atom) = -0.51763
- formation energy from the elements (eV per atom) = -0.428
- calculated volume (A^3/atom) = 15.21
- space-group type = P4/mbm (127)

a = 6.6351 Å, b = 6.6351 Å, c = 3.4553 Å
α = 90.00°, β = 90.00°, γ = 90.00°
Fractional coordinates of all 10 atoms:
Os  0.0000  0.0000  0.0000
Os  0.5000  0.5000  0.0000
Ga  0.3682  0.8682  0.0000
Ga  0.8682  0.6318  0.0000
Ga  0.6318  0.1318  0.0000
Ga  0.1318  0.3682  0.0000
Ti  0.1710  0.6710  0.5000
Ti  0.6710  0.8290  0.5000
Ti  0.8290  0.3290  0.5000
Ti  0.3290  0.1710  0.5000


18.
A plane-wave DFT calculation with PBE-GGA was carried out for crystalline Ti2GaOs at its relaxed geometry.

- final energy (Ry per atom) = -0.58924
- formation energy from the elements (eV per atom) = -0.505
- calculated volume (A^3/atom) = 15.26
- space-group type = P4/mmm (123)

a = 3.1471 Å, b = 3.1471 Å, c = 6.1637 Å
α = 90.00°, β = 90.00°, γ = 90.00°
Fractional coordinates of all 4 atoms:
Os  0.5000  0.5000  0.0000
Ga  0.5000  0.5000  0.5000
Ti  0.0000  0.0000  0.7578
Ti  0.0000  0.0000  0.2422


19.
A plane-wave DFT calculation with PBE-GGA was carried out for crystalline Ti3Ga4Os at its relaxed geometry.

- final energy (Ry per atom) = -0.45441
- formation energy from the elements (eV per atom) = -0.305
- calculated volume (A^3/atom) = 15.89
- space-group type = Pmmn (59)

a = 4.7687 Å, b = 5.6102 Å, c = 9.5043 Å
α = 90.00°, β = 90.00°, γ = 90.00°
Fractional coordinates of all 16 atoms:
Ti  0.5644  0.8821  0.0000
Ti  0.0644  0.8907  0.2379
Ti  0.5644  0.1093  0.2621
Ti  0.0644  0.1179  0.5000
Ti  0.5644  0.1093  0.7379
Ti  0.0644  0.8907  0.7621
Ga  0.0644  0.5976  0.0000
Ga  0.5644  0.3601  0.0000
Ga  0.0644  0.3776  0.2523
Ga  0.5644  0.6224  0.2477
Ga  0.0644  0.6399  0.5000
Ga  0.5644  0.4024  0.5000
Ga  0.5644  0.6224  0.7523
Ga  0.0644  0.3776  0.7477
Os  0.0644  0.1038  0.0000
Os  0.5644  0.8962  0.5000


20.
A plane-wave DFT calculation with PBE-GGA was carried out for crystalline Ti3GaOs at its relaxed geometry.

- final energy (Ry per atom) = -0.48627
- ΔE to the lowest computed polymorph (meV per atom) = 548.6
- formation energy from the elements (eV per atom) = 0.972
- calculated volume (A^3/atom) = 18.97
- space-group type = Pm-3m (221)

a = 4.5606 Å, b = 4.5606 Å, c = 4.5606 Å
α = 90.00°, β = 90.00°, γ = 90.00°
Fractional coordinates of all 5 atoms:
Os  0.5000  0.5000  0.5000
Ga  0.0000  0.0000  0.0000
Ti  0.0000  0.5000  0.0000
Ti  0.0000  0.0000  0.5000
Ti  0.5000  0.0000  0.0000